# 1
Here is crystalline BP2PtCl at its relaxed geometry from Alexandria. Energies are from PBE.

## Properties
ΔE_f (raw) (eV per atom): 0.867
Size of the total moment (μB per cell): 0.000
Energy above the lowest structure with this stoichiometry (meV/atom): 0

abc: 4.2153 4.2153 4.0355
angles: 90.00 90.00 90.00
Closest atoms and distances in Å follow each position.
Element x y z (fractional)
B 0.0000 0.0000 0.0000  2 Cl 2.02, 4 P 2.11
P 0.0000 0.5000 0.0000  2 B 2.11
P 0.5000 0.0000 0.0000  2 B 2.11
Pt 0.5000 0.5000 0.5000  8 P 2.92, 4 Cl 2.98
Cl 0.0000 0.0000 0.5000  2 B 2.02


# 2
Here is crystalline RbB2PCl at its relaxed geometry from Alexandria. Energies are from PBE.

## Properties
ΔE_f (raw) (eV per atom): 1.845
Size of the total moment (μB per cell): 0.085

abc: 4.9054 4.9054 4.9156
angles: 90.00 90.00 90.00
Closest atoms and distances in Å follow each position.
Element x y z (fractional)
Rb 0.0000 0.0000 0.0000  4 P 3.47, 8 B 3.47
B 0.0000 0.5000 0.5000  2 Cl 2.45
B 0.5000 0.0000 0.5000  2 Cl 2.45
P 0.5000 0.5000 0.0000  2 Cl 2.46
Cl 0.5000 0.5000 0.5000  4 B 2.45, 2 P 2.46


# 3
Here is crystalline Re2BPCl at its relaxed geometry from Alexandria. Energies are from PBE.

## Properties
ΔE_f (raw) (eV per atom): 2.742
Size of the total moment (μB per cell): 0.000

abc: 4.3607 4.3607 4.3294
angles: 90.00 90.00 90.00
Closest atoms and distances in Å follow each position.
Element x y z (fractional)
Re 0.0000 0.5000 0.0000  2 Cl 2.18
Re 0.5000 0.0000 0.0000  2 Cl 2.18
B 0.0000 0.0000 0.5000  8 Re 3.07, 4 P 3.08
P 0.5000 0.5000 0.5000  2 Cl 2.16
Cl 0.5000 0.5000 0.0000  2 P 2.16, 4 Re 2.18